1.
Entry from Alexandria: a relaxed structure of Sr2In4RhAu3 (PBE).

abc: 4.614 4.614 11.705
angles: 90.00 90.00 90.00
Space group P-4m2 (No. 115)
Unique sites:
Sr: 0.000 0.500 0.242
In: 0.000 0.000 0.500
In: 0.000 0.500 0.877
In: 0.500 0.500 0.500
Rh: 0.500 0.500 0.000
Au: 0.000 0.000 0.000
Au: 0.000 0.500 0.643

Properties
- Total magnetic moment: 0.0 μB per cell
- Raw total energy: -3.63 eV/atom
- D(E_F): 8.47 states/eV/cell

=====

2.
Entry from Alexandria: a relaxed structure of Tb4InRh2Au (PBE).

abc: 5.0484 5.0484 24.7860
angles: 90.00 90.00 120.00
Space group R-3m (No. 166, hexagonal axes)
Unique sites:
Tb: 0.0000 0.0000 0.1212
Tb: 0.0000 0.0000 0.3718
In: 0.0000 0.0000 0.5000
Rh: 0.0000 0.0000 0.2446
Au: 0.0000 0.0000 0.0000

Properties
- Total magnetic moment: 0.0 μB per cell
- Raw total energy: -5.60 eV/atom
- D(E_F): 18.12 states/eV/cell

=====

3.
Entry from Alexandria: a relaxed structure of ThInRhAu (PBE).

abc: 7.034 7.034 7.034
angles: 90.00 90.00 90.00
Space group F-43m (No. 216)
Unique sites:
Th: 0.000 0.000 0.000
In: 0.000 0.000 0.500
Rh: 0.250 0.250 0.250
Au: 0.250 0.250 0.750

Properties
- Total magnetic moment: 0.0 μB per cell
- Raw total energy: -5.77 eV/atom
- D(E_F): 12.24 states/eV/cell